A geometry-optimized MgMoRu2 structure. Source: the Alexandria database, functional PBE.

a b c (Å): 4.400 4.400 4.400
angles (deg): 60.00 60.00 60.00
Positions (direct):
1 Mo 0.750 0.750 0.750
2 Ru 0.250 0.250 0.250
3 Ru 0.000 0.000 0.000
4 Mg 0.500 0.500 0.500

Calculated values
calculated formation energy = 0.37 eV per atom
calculated volume = 60 Å³/f.u.
space-group type = No. 216